--- i ---
Here is OsW5 after structural relaxation from Alexandria. Energies are from PBE.

Calculated values
As for the space-group type: C2/m, No. 12.

a b c (Å): 5.2348 5.2348 6.3476
angles (deg): 72.27 72.27 35.38
Closest atoms and distances in Å follow each position.
Element x y z (fractional)
W 0.8343 0.8343 0.8351  6 W 2.73-2.74, 2 Os 2.75
W 0.5000 0.5000 0.0000  8 W 2.73-2.76
W 0.1710 0.1710 0.6674  6 W 2.72-2.76, 2 Os 2.78
W 0.1657 0.1657 0.1649  6 W 2.73-2.74, 2 Os 2.75
W 0.8290 0.8290 0.3326  6 W 2.72-2.76, 2 Os 2.78
Os 0.5000 0.5000 0.5000  8 W 2.75-2.78

---

--- ii ---
Here is OsW5 after structural relaxation from Alexandria. Energies are from PBE.

Calculated values
As for the space-group type: P-62m, No. 189.

a b c (Å): 4.8306 4.8306 4.7646
angles (deg): 90.00 90.00 120.00
Closest atoms and distances in Å follow each position.
Element x y z (fractional)
Os 0.0000 0.0000 0.5000  12 W 2.79-2.87
W 0.6700 0.0000 0.0000  10 W 2.76-2.88, 2 Os 2.87
W 0.0000 0.6700 0.0000  10 W 2.76-2.88, 2 Os 2.87
W 0.3333 0.6667 0.5000  9 W 2.79-2.88, 3 Os 2.79
W 0.6667 0.3333 0.5000  9 W 2.79-2.88, 3 Os 2.79
W 0.3300 0.3300 0.0000  10 W 2.76-2.88, 2 Os 2.87

---

Most stable of them? i.